1:
TbDy2Ho6 after structural relaxation. Source: the Alexandria database, functional GGA-PBE.

a = 3.527 Å, b = 8.624 Å, c = 9.320 Å
α = 90.00°, β = 100.84°, γ = 90.06°
Element x y z (fractional)
Tb (0.000, 0.000, 0.000)
Dy (0.445, 0.666, 0.889)
Dy (0.555, 0.334, 0.111)
Ho (0.112, 0.667, 0.223)
Ho (0.222, 0.333, 0.445)
Ho (0.333, 0.000, 0.666)
Ho (0.667, 0.000, 0.334)
Ho (0.778, 0.667, 0.555)
Ho (0.888, 0.333, 0.777)

Calculated values
Symmetry = P-1, No. 2

2:
TbDy2Ho6 after structural relaxation. Source: the Alexandria database, functional GGA-PBE.

a = 8.484 Å, b = 8.484 Å, c = 8.484 Å
α = 48.09°, β = 48.09°, γ = 48.09°
Element x y z (fractional)
Tb (0.000, 0.000, 0.000)
Dy (0.588, 0.588, 0.588)
Dy (0.752, 0.752, 0.752)
Ho (0.055, 0.055, 0.563)
Ho (0.055, 0.563, 0.055)
Ho (0.280, 0.280, 0.770)
Ho (0.280, 0.770, 0.280)
Ho (0.563, 0.055, 0.055)
Ho (0.770, 0.280, 0.280)

Calculated values
Symmetry = R3m, No. 160

1 takes first place; second place is 375 meV per atom up.

1:
TbDy4Ho3 after structural relaxation. Source: the Alexandria database, functional GGA-PBE.

a = 11.186 Å, b = 7.229 Å, c = 6.252 Å
α = 90.00°, β = 90.00°, γ = 90.00°
Element x y z (fractional)
Tb (0.000, 0.125, 0.000)
Tb (0.500, 0.875, 0.500)
Dy (0.000, 0.375, 0.500)
Dy (0.000, 0.625, 0.999)
Dy (0.249, 0.625, 0.333)
Dy (0.251, 0.375, 0.833)
Dy (0.500, 0.375, 0.499)
Dy (0.500, 0.625, 0.000)
Dy (0.749, 0.375, 0.833)
Dy (0.751, 0.625, 0.333)
Ho (0.000, 0.876, 0.500)
Ho (0.250, 0.125, 0.333)
Ho (0.250, 0.875, 0.833)
Ho (0.500, 0.124, 0.000)
Ho (0.750, 0.125, 0.333)
Ho (0.750, 0.875, 0.833)

Calculated values
Symmetry = Pmn2_1, No. 31

2:
TbDy4Ho3 after structural relaxation. Source: the Alexandria database, functional GGA-PBE.

a = 13.251 Å, b = 13.251 Å, c = 3.539 Å
α = 90.00°, β = 90.00°, γ = 155.63°
Element x y z (fractional)
Tb (0.000, 0.000, 0.000)
Dy (0.104, 0.896, 0.500)
Dy (0.223, 0.777, 0.500)
Dy (0.777, 0.223, 0.500)
Dy (0.896, 0.104, 0.500)
Ho (0.345, 0.655, 0.000)
Ho (0.500, 0.500, 0.500)
Ho (0.655, 0.345, 0.000)

Calculated values
Symmetry = Cmmm, No. 65

1 takes first place; second place is 201 meV per atom up.

1:
TbDy3Ho6 after structural relaxation. Source: the Alexandria database, functional GGA-PBE.

a = 11.455 Å, b = 11.455 Å, c = 6.325 Å
α = 90.00°, β = 90.00°, γ = 130.81°
Element x y z (fractional)
Tb (0.161, 0.839, 0.500)
Tb (0.839, 0.161, 0.000)
Dy (0.042, 0.296, 0.474)
Dy (0.296, 0.042, 0.974)
Dy (0.420, 0.580, 0.580)
Dy (0.580, 0.420, 0.080)
Dy (0.704, 0.958, 0.474)
Dy (0.958, 0.704, 0.974)
Ho (0.015, 0.985, 0.304)
Ho (0.105, 0.543, 0.815)
Ho (0.258, 0.379, 0.055)
Ho (0.301, 0.699, 0.276)
Ho (0.379, 0.258, 0.555)
Ho (0.457, 0.895, 0.815)
Ho (0.543, 0.105, 0.315)
Ho (0.621, 0.742, 0.055)
Ho (0.699, 0.301, 0.776)
Ho (0.742, 0.621, 0.555)
Ho (0.895, 0.457, 0.315)
Ho (0.985, 0.015, 0.804)

Calculated values
Symmetry = Cmc2_1, No. 36

2:
TbDy3Ho6 after structural relaxation. Source: the Alexandria database, functional GGA-PBE.

a = 10.882 Å, b = 10.882 Å, c = 6.144 Å
α = 90.00°, β = 90.00°, γ = 119.70°
Element x y z (fractional)
Tb (0.207, 0.793, 0.500)
Tb (0.793, 0.207, 0.000)
Dy (0.062, 0.280, 0.690)
Dy (0.280, 0.062, 0.190)
Dy (0.390, 0.610, 0.577)
Dy (0.610, 0.390, 0.077)
Dy (0.720, 0.938, 0.690)
Dy (0.938, 0.720, 0.190)
Ho (0.041, 0.461, 0.284)
Ho (0.047, 0.953, 0.730)
Ho (0.283, 0.717, 0.005)
Ho (0.289, 0.382, 0.113)
Ho (0.382, 0.289, 0.613)
Ho (0.461, 0.041, 0.784)
Ho (0.539, 0.959, 0.284)
Ho (0.618, 0.711, 0.113)
Ho (0.711, 0.618, 0.613)
Ho (0.717, 0.283, 0.505)
Ho (0.953, 0.047, 0.230)
Ho (0.959, 0.539, 0.784)

Calculated values
Symmetry = Cmc2_1, No. 36

1 takes first place; second place is 25 meV per atom up.

1:
Tb5Dy5Ho after structural relaxation. Source: the Alexandria database, functional GGA-PBE.

a = 6.824 Å, b = 6.826 Å, c = 8.559 Å
α = 75.07°, β = 75.19°, γ = 70.06°
Element x y z (fractional)
Tb (0.000, 0.000, 0.000)
Tb (0.147, 0.646, 0.364)
Tb (0.352, 0.270, 0.729)
Tb (0.648, 0.730, 0.271)
Tb (0.853, 0.354, 0.636)
Dy (0.223, 0.150, 0.275)
Dy (0.320, 0.812, 0.636)
Dy (0.500, 0.500, 0.000)
Dy (0.680, 0.188, 0.364)
Dy (0.777, 0.850, 0.725)
Ho (0.000, 0.500, 0.000)

Calculated values
Symmetry = P-1, No. 2

2:
Tb5Dy5Ho after structural relaxation. Source: the Alexandria database, functional GGA-PBE.

a = 6.050 Å, b = 6.050 Å, c = 11.447 Å
α = 90.00°, β = 90.00°, γ = 120.00°
Element x y z (fractional)
Tb (0.000, 0.000, 0.236)
Tb (0.000, 0.000, 0.764)
Tb (0.337, 0.168, 0.000)
Tb (0.832, 0.168, 0.000)
Tb (0.832, 0.663, 0.000)
Dy (0.000, 0.000, 0.500)
Dy (0.333, 0.667, 0.181)
Dy (0.333, 0.667, 0.819)
Dy (0.667, 0.333, 0.343)
Dy (0.667, 0.333, 0.657)
Ho (0.333, 0.667, 0.500)

Calculated values
Symmetry = P-6m2, No. 187

1 takes first place; second place is 187 meV per atom up.

1:
TbDy12Ho7 after structural relaxation. Source: the Alexandria database, functional GGA-PBE.

a = 8.634 Å, b = 8.634 Å, c = 8.634 Å
α = 95.02°, β = 95.02°, γ = 95.02°
Element x y z (fractional)
Tb (0.000, 0.000, 0.000)
Dy (0.147, 0.478, 0.416)
Dy (0.186, 0.314, 0.750)
Dy (0.250, 0.814, 0.686)
Dy (0.314, 0.750, 0.186)
Dy (0.416, 0.147, 0.478)
Dy (0.478, 0.416, 0.147)
Dy (0.522, 0.584, 0.853)
Dy (0.584, 0.853, 0.522)
Dy (0.686, 0.250, 0.814)
Dy (0.750, 0.186, 0.314)
Dy (0.814, 0.686, 0.250)
Dy (0.853, 0.522, 0.584)
Ho (0.020, 0.352, 0.083)
Ho (0.083, 0.020, 0.352)
Ho (0.352, 0.083, 0.020)
Ho (0.500, 0.500, 0.500)
Ho (0.648, 0.917, 0.980)
Ho (0.917, 0.980, 0.648)
Ho (0.980, 0.648, 0.917)

Calculated values
Symmetry = R-3, No. 148

2:
TbDy12Ho7 after structural relaxation. Source: the Alexandria database, functional GGA-PBE.

a = 10.873 Å, b = 10.873 Å, c = 10.873 Å
α = 115.95°, β = 115.95°, γ = 115.95°
Element x y z (fractional)
Tb (0.000, 0.000, 0.000)
Dy (0.068, 0.493, 0.281)
Dy (0.206, 0.269, 0.747)
Dy (0.253, 0.794, 0.731)
Dy (0.269, 0.747, 0.206)
Dy (0.281, 0.068, 0.493)
Dy (0.493, 0.281, 0.068)
Dy (0.507, 0.719, 0.932)
Dy (0.719, 0.932, 0.507)
Dy (0.731, 0.253, 0.794)
Dy (0.747, 0.206, 0.269)
Dy (0.794, 0.731, 0.253)
Dy (0.932, 0.507, 0.719)
Ho (0.075, 0.215, 0.379)
Ho (0.215, 0.379, 0.075)
Ho (0.379, 0.075, 0.215)
Ho (0.500, 0.500, 0.500)
Ho (0.621, 0.925, 0.785)
Ho (0.785, 0.621, 0.925)
Ho (0.925, 0.785, 0.621)

Calculated values
Symmetry = R-3, No. 148

1 takes first place; second place is 32 meV per atom up.

1:
Tb3Dy2Ho2 after structural relaxation. Source: the Alexandria database, functional GGA-PBE.

a = 8.826 Å, b = 8.826 Å, c = 8.488 Å
α = 118.59°, β = 118.59°, γ = 22.75°
Element x y z (fractional)
Tb (0.000, 0.000, 0.000)
Tb (0.212, 0.212, 0.302)
Tb (0.788, 0.788, 0.698)
Dy (0.146, 0.146, 0.824)
Dy (0.854, 0.854, 0.176)
Ho (0.435, 0.435, 0.592)
Ho (0.565, 0.565, 0.408)

Calculated values
Symmetry = C2/m, No. 12

2:
Tb3Dy2Ho2 after structural relaxation. Source: the Alexandria database, functional GGA-PBE.

a = 6.124 Å, b = 6.124 Å, c = 10.628 Å
α = 95.60°, β = 95.60°, γ = 33.52°
Element x y z (fractional)
Tb (0.000, 0.000, 0.000)
Tb (0.143, 0.143, 0.572)
Tb (0.857, 0.857, 0.428)
Dy (0.429, 0.429, 0.715)
Dy (0.571, 0.571, 0.285)
Ho (0.286, 0.286, 0.142)
Ho (0.714, 0.714, 0.858)

Calculated values
Symmetry = C2/m, No. 12

2 takes first place; second place is 97 meV per atom up.

1:
Tb2Dy5Ho12 after structural relaxation. Source: the Alexandria database, functional GGA-PBE.

a = 6.227 Å, b = 9.010 Å, c = 10.727 Å
α = 87.19°, β = 82.58°, γ = 88.38°
Element x y z (fractional)
Tb (0.046, 0.006, 0.156)
Tb (0.954, 0.994, 0.844)
Dy (0.221, 0.945, 0.556)
Dy (0.377, 0.512, 0.157)
Dy (0.500, 0.500, 0.500)
Dy (0.623, 0.488, 0.843)
Dy (0.779, 0.055, 0.444)
Ho (0.006, 0.675, 0.390)
Ho (0.099, 0.328, 0.943)
Ho (0.145, 0.643, 0.746)
Ho (0.326, 0.202, 0.343)
Ho (0.425, 0.833, 0.951)
Ho (0.484, 0.162, 0.728)
Ho (0.516, 0.838, 0.272)
Ho (0.575, 0.167, 0.049)
Ho (0.674, 0.798, 0.657)
Ho (0.855, 0.357, 0.254)
Ho (0.901, 0.672, 0.057)
Ho (0.994, 0.325, 0.610)

Calculated values
Symmetry = P-1, No. 2

2:
Tb2Dy5Ho12 after structural relaxation. Source: the Alexandria database, functional GGA-PBE.

a = 8.974 Å, b = 8.974 Å, c = 8.521 Å
α = 91.83°, β = 91.83°, γ = 61.60°
Element x y z (fractional)
Tb (0.173, 0.827, 0.000)
Tb (0.827, 0.173, 0.000)
Dy (0.206, 0.206, 0.021)
Dy (0.269, 0.269, 0.428)
Dy (0.500, 0.500, 0.500)
Dy (0.731, 0.731, 0.572)
Dy (0.794, 0.794, 0.979)
Ho (0.057, 0.057, 0.336)
Ho (0.062, 0.678, 0.332)
Ho (0.171, 0.530, 0.760)
Ho (0.322, 0.938, 0.668)
Ho (0.425, 0.425, 0.126)
Ho (0.470, 0.829, 0.240)
Ho (0.530, 0.171, 0.760)
Ho (0.575, 0.575, 0.874)
Ho (0.678, 0.062, 0.332)
Ho (0.829, 0.470, 0.240)
Ho (0.938, 0.322, 0.668)
Ho (0.943, 0.943, 0.664)

Calculated values
Symmetry = C2/m, No. 12

1 takes first place; second place is 65 meV per atom up.

1:
Tb3DyHo3 after structural relaxation. Source: the Alexandria database, functional GGA-PBE.

a = 9.525 Å, b = 9.525 Å, c = 5.636 Å
α = 90.00°, β = 90.00°, γ = 120.00°
Element x y z (fractional)
Tb (0.048, 0.239, 0.250)
Tb (0.191, 0.952, 0.250)
Tb (0.239, 0.191, 0.750)
Tb (0.761, 0.809, 0.250)
Tb (0.809, 0.048, 0.750)
Tb (0.952, 0.761, 0.750)
Dy (0.333, 0.667, 0.250)
Dy (0.667, 0.333, 0.750)
Ho (0.095, 0.477, 0.750)
Ho (0.381, 0.905, 0.750)
Ho (0.477, 0.381, 0.250)
Ho (0.523, 0.619, 0.750)
Ho (0.619, 0.095, 0.250)
Ho (0.905, 0.523, 0.250)

Calculated values
Symmetry = P6_3/m, No. 176

2:
Tb3DyHo3 after structural relaxation. Source: the Alexandria database, functional GGA-PBE.

a = 14.552 Å, b = 14.552 Å, c = 14.552 Å
α = 24.36°, β = 24.36°, γ = 24.36°
Element x y z (fractional)
Tb (0.133, 0.464, 0.801)
Tb (0.199, 0.867, 0.536)
Tb (0.464, 0.801, 0.133)
Tb (0.536, 0.199, 0.867)
Tb (0.801, 0.133, 0.464)
Tb (0.867, 0.536, 0.199)
Dy (0.333, 0.333, 0.333)
Dy (0.667, 0.667, 0.667)
Ho (0.066, 0.732, 0.400)
Ho (0.268, 0.600, 0.934)
Ho (0.400, 0.066, 0.732)
Ho (0.600, 0.934, 0.268)
Ho (0.732, 0.400, 0.066)
Ho (0.934, 0.268, 0.600)

Calculated values
Symmetry = R-3, No. 148

1 takes first place; second place is 136 meV per atom up.

1:
Tb2Dy3Ho6 after structural relaxation. Source: the Alexandria database, functional GGA-PBE.

a = 16.820 Å, b = 16.820 Å, c = 16.820 Å
α = 163.98°, β = 163.98°, γ = 22.72°
Element x y z (fractional)
Tb (0.046, 0.046, 0.000)
Tb (0.954, 0.954, 0.000)
Dy (0.299, 0.299, 0.000)
Dy (0.500, 0.500, 0.000)
Dy (0.701, 0.701, 0.000)
Ho (0.121, 0.621, 0.500)
Ho (0.196, 0.196, 0.000)
Ho (0.379, 0.879, 0.500)
Ho (0.621, 0.121, 0.500)
Ho (0.804, 0.804, 0.000)
Ho (0.879, 0.379, 0.500)

Calculated values
Symmetry = I4/mmm, No. 139

2:
Tb2Dy3Ho6 after structural relaxation. Source: the Alexandria database, functional GGA-PBE.

a = 31.668 Å, b = 31.668 Å, c = 31.668 Å
α = 6.39°, β = 6.39°, γ = 6.39°
Element x y z (fractional)
Tb (0.045, 0.045, 0.045)
Tb (0.955, 0.955, 0.955)
Dy (0.227, 0.227, 0.227)
Dy (0.500, 0.500, 0.500)
Dy (0.773, 0.773, 0.773)
Ho (0.136, 0.136, 0.136)
Ho (0.318, 0.318, 0.318)
Ho (0.409, 0.409, 0.409)
Ho (0.591, 0.591, 0.591)
Ho (0.682, 0.682, 0.682)
Ho (0.864, 0.864, 0.864)

Calculated values
Symmetry = R-3m, No. 166

2 takes first place; second place is 266 meV per atom up.